(1)
DFT (PBE-GGA) results for a relaxed SrPt4 crystal.

## Properties
N(E_F)	1.344	states/eV/atom
formation energy from the elements	-88.5	kJ/mol of formula units

Unit cell a=5.095 b=5.095 c=5.095 alpha=101.78 beta=101.78 gamma=126.29
Element x y z (fractional)
Sr  0.000  0.000  0.000
Pt  0.195  0.448  0.644
Pt  0.448  0.805  0.253
Pt  0.552  0.195  0.747
Pt  0.805  0.552  0.356

(2)
DFT (PBE-GGA) results for a relaxed RbGa3Br8 crystal.

## Properties
N(E_F)	0.000	states/eV/atom
E_tot	-2.920	eV/atom

Unit cell a=6.996 b=6.996 c=10.783 alpha=94.02 beta=94.02 gamma=68.53
Element x y z (fractional)
Rb  0.000  0.000  0.000
Ga  0.000  0.000  0.500
Ga  0.398  0.398  0.734
Ga  0.602  0.602  0.266
Br  0.236  0.722  0.269
Br  0.272  0.272  0.551
Br  0.278  0.764  0.731
Br  0.309  0.309  0.923
Br  0.691  0.691  0.077
Br  0.722  0.236  0.269
Br  0.728  0.728  0.449
Br  0.764  0.278  0.731

(3)
DFT (PBE-GGA) results for a relaxed SrRe2Te crystal.

## Properties
N(E_F)	1.105	states/eV/atom
E_tot	-6.079	eV/atom

Unit cell a=3.123 b=3.123 c=9.305 alpha=90.00 beta=90.00 gamma=113.40
Element x y z (fractional)
Sr  0.000  0.000  0.000
Re  0.500  0.500  0.281
Re  0.500  0.500  0.719
Te  0.000  0.000  0.500

(4)
DFT (PBE-GGA) results for a relaxed MgSnNF2 crystal.

## Properties
N(E_F)	0.268	states/eV/atom
E_tot	-4.414	eV/atom

Unit cell a=4.361 b=4.361 c=4.185 alpha=90.00 beta=90.00 gamma=90.00
Element x y z (fractional)
Mg  0.000  0.000  0.000
Sn  0.500  0.500  0.500
N  0.500  0.500  0.000
F  0.000  0.500  0.500
F  0.500  0.000  0.500

(5)
DFT (PBE-GGA) results for a relaxed Ce6SbAs3S2 crystal.

## Properties
N(E_F)	2.831	states/eV/atom
E_tot	-6.696	eV/atom

Unit cell a=9.401 b=9.401 c=8.429 alpha=102.77 beta=102.77 gamma=25.89
Element x y z (fractional)
Ce  0.004  0.004  0.265
Ce  0.327  0.327  0.908
Ce  0.332  0.332  0.420
Ce  0.668  0.668  0.580
Ce  0.673  0.673  0.092
Ce  0.996  0.996  0.735
Sb  0.500  0.500  0.000
As  0.164  0.164  0.832
As  0.500  0.500  0.500
As  0.836  0.836  0.168
S  0.169  0.169  0.336
S  0.831  0.831  0.664

(6)
DFT (PBE-GGA) results for a relaxed LaCu3Pd crystal.

## Properties
N(E_F)	0.243	states/eV/atom
formation energy from the elements	666.4	kJ/mol of formula units

Unit cell a=5.094 b=5.094 c=5.094 alpha=90.00 beta=90.00 gamma=90.00
Element x y z (fractional)
La  0.000  0.000  0.000
Cu  0.000  0.000  0.500
Cu  0.000  0.500  0.000
Cu  0.500  0.000  0.000
Pd  0.500  0.500  0.500

(7)
DFT (PBE-GGA) results for a relaxed HfCuGe2 crystal.

## Properties
N(E_F)	0.590	states/eV/atom
formation energy from the elements	19.8	kJ/mol of formula units

Unit cell a=9.232 b=9.232 c=9.232 alpha=154.20 beta=154.20 gamma=36.81
Element x y z (fractional)
Hf  0.000  0.000  0.000
Hf  0.750  0.250  0.500
Cu  0.250  0.750  0.500
Cu  0.500  0.500  0.000
Ge  0.171  0.625  0.046
Ge  0.375  0.421  0.546
Ge  0.579  0.125  0.954
Ge  0.875  0.829  0.454

(8)
DFT (PBE-GGA) results for a relaxed TiCoGeRu crystal.

## Properties
N(E_F)	0.354	states/eV/atom
formation energy from the elements	-201.8	kJ/mol of formula units

Unit cell a=4.233 b=4.233 c=4.233 alpha=60.00 beta=60.00 gamma=60.00
Element x y z (fractional)
Ti  0.000  0.000  0.000
Co  0.250  0.250  0.250
Ge  0.500  0.500  0.500
Ru  0.750  0.750  0.750